The following is a DFT calculation (PBE) of an optimized crystal structure of AlGeP2.

The structure in CIF format:
```
data_AlGeP2
_chemical_formula_sum 'Al4 Ge4 P8'
_cell_length_a 5.5820
_cell_length_b 5.5820
_cell_length_c 11.2071
_cell_angle_alpha 90.00
_cell_angle_beta 90.00
_cell_angle_gamma 90.00
_space_group_name_H-M_alt 'I -4 2 d'
_space_group_IT_number 122
_space_group_name_Hall 'I -4 2bw'
loop_
_atom_site_label
_atom_site_type_symbol
_atom_site_fract_x
_atom_site_fract_y
_atom_site_fract_z
Al1 Al 0.0000 0.0000 0.0000
Ge1 Ge 0.0000 0.0000 0.5000
P1 P 0.2359 0.2500 0.1250
```

Computed properties:
- excess energy over the best structure of this formula in the dataset (meV/atom) = 46
- DOS at the Fermi energy (states/eV per cell) = 11.24
- DFT formation energy (meV per atom) = -139
- total DFT energy (no corrections) (eV per atom) = -4.93

***

The following is a DFT calculation (PBE) of an optimized crystal structure of AlGe2P.

The structure in CIF format:
```
data_AlGe2P
_chemical_formula_sum 'Al4 Ge8 P4'
_cell_length_a 6.5509
_cell_length_b 6.5509
_cell_length_c 6.5509
_cell_angle_alpha 90.00
_cell_angle_beta 90.00
_cell_angle_gamma 90.00
_space_group_name_H-M_alt 'F m -3 m'
_space_group_IT_number 225
_space_group_name_Hall '-F 4 2 3'
loop_
_atom_site_label
_atom_site_type_symbol
_atom_site_fract_x
_atom_site_fract_y
_atom_site_fract_z
Al1 Al 0.0000 0.0000 0.0000
Ge1 Ge 0.2500 0.2500 0.2500
P1 P 0.0000 0.0000 0.5000
```

Computed properties:
- excess energy over the best structure of this formula in the dataset (meV/atom) = 397
- DOS at the Fermi energy (states/eV per cell) = 11.11
- DFT formation energy (meV per atom) = 391
- total DFT energy (no corrections) (eV per atom) = -4.21

***

The following is a DFT calculation (PBE) of an optimized crystal structure of AlGeP2.

The structure in CIF format:
```
data_AlGeP2
_chemical_formula_sum 'Al4 Ge4 P8'
_cell_length_a 6.3682
_cell_length_b 6.3682
_cell_length_c 6.3682
_cell_angle_alpha 90.00
_cell_angle_beta 90.00
_cell_angle_gamma 90.00
_space_group_name_H-M_alt 'F m -3 m'
_space_group_IT_number 225
_space_group_name_Hall '-F 4 2 3'
loop_
_atom_site_label
_atom_site_type_symbol
_atom_site_fract_x
_atom_site_fract_y
_atom_site_fract_z
Al1 Al 0.0000 0.0000 0.0000
Ge1 Ge 0.0000 0.0000 0.5000
P1 P 0.2500 0.2500 0.2500
```

Computed properties:
- excess energy over the best structure of this formula in the dataset (meV/atom) = 517
- DOS at the Fermi energy (states/eV per cell) = 10.02
- DFT formation energy (meV per atom) = 332
- total DFT energy (no corrections) (eV per atom) = -4.46